(w)
A plane-wave DFT calculation with PBE-GGA was carried out for a relaxed structure of Tb3PrSc3.

Lattice parameters (Å, degrees): 6.5625 6.5625 6.5625 109.68 109.68 109.68
Last column: nearest neighbours and their distance in Å.
Sites, in units of the cell vectors:
1 Tb 0.1823 0.1823 0.6355  6 Sc 3.15-3.42
2 Tb 0.1823 0.6355 0.1823  6 Sc 3.15-3.42
3 Tb 0.6355 0.1822 0.1823  6 Sc 3.15-3.42
4 Pr 0.7795 0.7795 0.7795  6 Sc 3.19-3.48
5 Sc 0.1918 0.6821 0.6821  6 Tb 3.15-3.42, 2 Pr 3.19-3.48
6 Sc 0.6821 0.1918 0.6821  6 Tb 3.15-3.42, 2 Pr 3.19-3.48
7 Sc 0.6821 0.6821 0.1918  6 Tb 3.15-3.42, 2 Pr 3.19-3.48

Properties
DOS(E_F)   11.6 states/eV/f.u.

***

(x)
A plane-wave DFT calculation with PBE-GGA was carried out for a relaxed structure of Tb3PrSc3.

Lattice parameters (Å, degrees): 8.5372 8.5372 8.5372 58.74 58.74 58.74
Last column: nearest neighbours and their distance in Å.
Sites, in units of the cell vectors:
1 Tb 0.0693 0.5668 0.2228  4 Sc 3.21-3.50, 2 Tb 3.49, 1 Pr 3.56
2 Tb 0.2228 0.0693 0.5668  4 Sc 3.21-3.50, 2 Tb 3.49, 1 Pr 3.56
3 Tb 0.4332 0.7772 0.9307  4 Sc 3.21-3.50, 2 Tb 3.49, 1 Pr 3.56
4 Tb 0.5668 0.2228 0.0693  4 Sc 3.21-3.50, 2 Tb 3.49, 1 Pr 3.56
5 Tb 0.7772 0.9307 0.4332  4 Sc 3.21-3.50, 2 Tb 3.49, 1 Pr 3.56
6 Tb 0.9307 0.4332 0.7772  4 Sc 3.21-3.50, 2 Tb 3.49, 1 Pr 3.56
7 Pr 0.1512 0.1512 0.1512  6 Sc 3.45-3.72, 6 Tb 3.56-3.62
8 Pr 0.8488 0.8488 0.8488  6 Sc 3.45-3.72, 6 Tb 3.56-3.62
9 Sc 0.2246 0.6666 0.4374  4 Sc 3.04-3.21, 3 Tb 3.21-3.34
10 Sc 0.3334 0.5626 0.7754  4 Sc 3.04-3.21, 3 Tb 3.21-3.34
11 Sc 0.4374 0.2246 0.6666  4 Sc 3.04-3.21, 3 Tb 3.21-3.34
12 Sc 0.5626 0.7754 0.3334  4 Sc 3.04-3.21, 3 Tb 3.21-3.34
13 Sc 0.6666 0.4374 0.2246  4 Sc 3.04-3.21, 3 Tb 3.21-3.34
14 Sc 0.7754 0.3334 0.5626  4 Sc 3.04-3.21, 3 Tb 3.21-3.34

Properties
DOS(E_F)   12.3 states/eV/f.u.

***

Q: Which of them is the least stable? A: (w).

***

(w)
A plane-wave DFT calculation with PBE-GGA was carried out for a relaxed structure of Tb4Pr3Sc2.

Lattice parameters (Å, degrees): 9.9129 9.9129 6.7474 95.57 95.57 61.03
Last column: nearest neighbours and their distance in Å.
Sites, in units of the cell vectors:
1 Tb 0.1745 0.7971 0.9852  2 Tb 3.26-3.55, 5 Pr 3.42-3.59, 2 Sc 3.47-3.50
2 Tb 0.1853 0.4367 0.1166  4 Sc 3.41-3.57, 4 Pr 3.43-3.62, 2 Tb 3.51-3.71
3 Tb 0.2029 0.8255 0.5148  2 Tb 3.26-3.55, 5 Pr 3.42-3.59, 2 Sc 3.47-3.50
4 Tb 0.4367 0.1853 0.6166  4 Sc 3.41-3.57, 4 Pr 3.43-3.62, 2 Tb 3.51-3.71
5 Tb 0.5633 0.8147 0.3834  4 Sc 3.41-3.57, 4 Pr 3.43-3.62, 2 Tb 3.51-3.71
6 Tb 0.7971 0.1745 0.4852  2 Tb 3.26-3.55, 5 Pr 3.42-3.59, 2 Sc 3.47-3.50
7 Tb 0.8147 0.5633 0.8834  4 Sc 3.41-3.57, 4 Pr 3.43-3.62, 2 Tb 3.51-3.71
8 Tb 0.8255 0.2029 0.0148  2 Tb 3.26-3.55, 5 Pr 3.42-3.59, 2 Sc 3.47-3.50
9 Pr 0.1009 0.2009 0.7358  6 Tb 3.42-3.62, 3 Sc 3.50-3.61, 2 Pr 3.52
10 Pr 0.2009 0.1009 0.2358  6 Tb 3.42-3.62, 3 Sc 3.50-3.61, 2 Pr 3.52
11 Pr 0.4937 0.5063 0.2500  2 Pr 3.38, 6 Tb 3.47-3.59, 2 Sc 3.64
12 Pr 0.5063 0.4937 0.7500  2 Pr 3.38, 6 Tb 3.47-3.59, 2 Sc 3.64
13 Pr 0.7991 0.8991 0.7642  6 Tb 3.42-3.62, 3 Sc 3.50-3.61, 2 Pr 3.52
14 Pr 0.8991 0.7991 0.2642  6 Tb 3.42-3.62, 3 Sc 3.50-3.61, 2 Pr 3.52
15 Sc 0.1201 0.5421 0.6334  1 Sc 3.23, 6 Tb 3.41-3.57, 3 Pr 3.50-3.61
16 Sc 0.4579 0.8799 0.8666  1 Sc 3.23, 6 Tb 3.41-3.57, 3 Pr 3.50-3.61
17 Sc 0.5421 0.1201 0.1334  1 Sc 3.23, 6 Tb 3.41-3.57, 3 Pr 3.50-3.61
18 Sc 0.8799 0.4579 0.3666  1 Sc 3.23, 6 Tb 3.41-3.57, 3 Pr 3.50-3.61

Properties
DOS(E_F)   13.9 states/eV/f.u.

***

(x)
A plane-wave DFT calculation with PBE-GGA was carried out for a relaxed structure of Tb4Pr3Sc2.

Lattice parameters (Å, degrees): 8.6653 8.6653 9.6799 99.64 99.64 23.47
Last column: nearest neighbours and their distance in Å.
Sites, in units of the cell vectors:
1 Tb 0.0135 0.0135 0.3244  5 Tb 3.51-3.52, 1 Sc 3.57, 6 Pr 3.57-3.69
2 Tb 0.3253 0.3253 0.7740  3 Sc 3.24-3.40, 4 Pr 3.37-3.58, 4 Tb 3.52
3 Tb 0.6747 0.6747 0.2260  3 Sc 3.24-3.40, 4 Pr 3.37-3.58, 4 Tb 3.52
4 Tb 0.9865 0.9865 0.6756  5 Tb 3.51-3.52, 1 Sc 3.57, 6 Pr 3.57-3.69
5 Pr 0.3413 0.3413 0.4096  2 Pr 3.52, 7 Tb 3.54-3.69, 2 Sc 3.66
6 Pr 0.5000 0.5000 0.0000  6 Tb 3.37-3.57, 2 Pr 3.52, 4 Sc 3.54
7 Pr 0.6587 0.6587 0.5904  2 Pr 3.52, 7 Tb 3.54-3.69, 2 Sc 3.66
8 Sc 0.1684 0.1684 0.9238  4 Tb 3.24-3.57, 4 Sc 3.40-3.52, 2 Pr 3.54
9 Sc 0.8316 0.8316 0.0762  4 Tb 3.24-3.57, 4 Sc 3.40-3.52, 2 Pr 3.54

Properties
DOS(E_F)   12.4 states/eV/f.u.

***

Q: Which of them is the least stable? A: (w).

***

(w)
A plane-wave DFT calculation with PBE-GGA was carried out for a relaxed structure of Tb3Pr4Sc2.

Lattice parameters (Å, degrees): 6.6459 6.6459 14.1647 114.90 114.90 31.62
Last column: nearest neighbours and their distance in Å.
Sites, in units of the cell vectors:
1 Tb 0.0000 0.0000 0.0000  4 Sc 3.28, 2 Tb 3.62
2 Tb 0.0104 0.0104 0.3867  2 Sc 3.31, 3 Tb 3.33-3.62, 6 Pr 3.44-3.66
3 Tb 0.9896 0.9896 0.6133  2 Sc 3.31, 3 Tb 3.33-3.62, 6 Pr 3.44-3.66
4 Pr 0.2194 0.2194 0.8723  4 Tb 3.56-3.95, 3 Sc 3.57-3.64, 4 Pr 3.62-3.81
5 Pr 0.2782 0.2782 0.3848  5 Tb 3.44-3.66, 2 Sc 3.45, 2 Pr 3.62
6 Pr 0.7218 0.7218 0.6152  5 Tb 3.44-3.66, 2 Sc 3.45, 2 Pr 3.62
7 Pr 0.7806 0.7806 0.1277  4 Tb 3.56-3.95, 3 Sc 3.57-3.64, 4 Pr 3.62-3.81
8 Sc 0.4541 0.4541 0.7926  4 Tb 3.28-3.31, 5 Pr 3.45-3.64, 2 Sc 3.62
9 Sc 0.5459 0.5459 0.2074  4 Tb 3.28-3.31, 5 Pr 3.45-3.64, 2 Sc 3.62

Properties
DOS(E_F)   14.5 states/eV/f.u.

***

(x)
A plane-wave DFT calculation with PBE-GGA was carried out for a relaxed structure of Tb3Pr4Sc2.

Lattice parameters (Å, degrees): 3.5729 3.5729 26.4496 90.00 90.00 120.00
Last column: nearest neighbours and their distance in Å.
Sites, in units of the cell vectors:
1 Tb 0.0000 0.0000 0.0000  6 Sc 3.34-3.37, 6 Tb 3.57
2 Tb 0.0000 0.0000 0.3345  6 Pr 3.57-3.65, 6 Tb 3.57
3 Tb 0.6667 0.3333 0.6800  6 Tb 3.57, 6 Pr 3.60-3.66
4 Pr 0.0000 0.0000 0.5683  9 Pr 3.57-3.79, 3 Tb 3.60
5 Pr 0.0000 0.0000 0.7943  3 Sc 3.45, 6 Pr 3.57, 3 Tb 3.66
6 Pr 0.6667 0.3333 0.2242  1 Sc 3.30, 3 Tb 3.57, 6 Pr 3.57
7 Pr 0.6667 0.3333 0.4481  9 Pr 3.57-3.79, 3 Tb 3.65
8 Sc 0.6667 0.3333 0.0996  1 Pr 3.30, 3 Tb 3.34, 6 Sc 3.57
9 Sc 0.6667 0.3333 0.8990  3 Tb 3.37, 3 Pr 3.45, 6 Sc 3.57

Properties
DOS(E_F)   16.3 states/eV/f.u.

***

Q: Which of them is the least stable? A: (x).

***

(w)
A plane-wave DFT calculation with PBE-GGA was carried out for a relaxed structure of Tb2Pr8Sc3.

Lattice parameters (Å, degrees): 8.8646 8.8646 6.0296 107.03 107.03 81.21
Last column: nearest neighbours and their distance in Å.
Sites, in units of the cell vectors:
1 Tb 0.1833 0.1833 0.3239  6 Pr 3.15-3.46
2 Tb 0.8167 0.8167 0.6762  6 Pr 3.15-3.46
3 Pr 0.0854 0.0854 0.7578  3 Pr 3.07-3.34, 2 Tb 3.15-3.35
4 Pr 0.1114 0.5803 0.3539  3 Sc 3.31-3.66, 2 Pr 3.34-3.66, 1 Tb 3.44
5 Pr 0.3639 0.3639 0.8829  1 Tb 3.31, 2 Pr 3.38-3.53, 4 Sc 3.46-3.53
6 Pr 0.4197 0.8886 0.6461  3 Sc 3.31-3.66, 2 Pr 3.34-3.66, 1 Tb 3.44
7 Pr 0.5803 0.1114 0.3539  3 Sc 3.31-3.66, 2 Pr 3.34-3.66, 1 Tb 3.44
8 Pr 0.6361 0.6361 0.1171  1 Tb 3.31, 2 Pr 3.38-3.53, 4 Sc 3.46-3.53
9 Pr 0.8886 0.4197 0.6461  3 Sc 3.31-3.66, 2 Pr 3.34-3.66, 1 Tb 3.44
10 Pr 0.9146 0.9146 0.2422  3 Pr 3.07-3.34, 2 Tb 3.15-3.35
11 Sc 0.2316 0.7684 0.0000  8 Pr 3.45-3.66, 2 Tb 3.65
12 Sc 0.5000 0.5000 0.5000  8 Pr 3.31-3.46
13 Sc 0.7684 0.2316 0.0000  8 Pr 3.45-3.66, 2 Tb 3.65

Properties
DOS(E_F)   20.2 states/eV/f.u.

***

(x)
A plane-wave DFT calculation with PBE-GGA was carried out for a relaxed structure of Tb2Pr8Sc3.

Lattice parameters (Å, degrees): 8.7836 8.7836 6.7166 98.58 98.58 61.55
Last column: nearest neighbours and their distance in Å.
Sites, in units of the cell vectors:
1 Tb 0.1942 0.1942 0.3017  6 Pr 3.20-3.56, 3 Sc 3.42-3.57
2 Tb 0.8058 0.8058 0.6983  6 Pr 3.20-3.56, 3 Sc 3.42-3.57
3 Pr 0.1889 0.1889 0.8236  2 Tb 3.20-3.52, 3 Sc 3.27-3.58, 1 Pr 3.49
4 Pr 0.2057 0.5718 0.5645  3 Pr 3.29-3.61, 2 Tb 3.30-3.56, 2 Sc 3.37-3.41
5 Pr 0.4082 0.4082 0.0955  4 Pr 3.25-3.61, 2 Sc 3.46
6 Pr 0.4282 0.7943 0.4355  3 Pr 3.29-3.61, 2 Tb 3.30-3.56, 2 Sc 3.37-3.41
7 Pr 0.5718 0.2057 0.5645  3 Pr 3.29-3.61, 2 Tb 3.30-3.56, 2 Sc 3.37-3.41
8 Pr 0.5918 0.5918 0.9045  4 Pr 3.25-3.61, 2 Sc 3.46
9 Pr 0.7943 0.4282 0.4355  3 Pr 3.29-3.61, 2 Tb 3.30-3.56, 2 Sc 3.37-3.41
10 Pr 0.8111 0.8111 0.1764  2 Tb 3.20-3.52, 3 Sc 3.27-3.58, 1 Pr 3.49
11 Sc 0.0000 0.0000 0.5000  6 Pr 3.27-3.37, 2 Tb 3.42, 4 Sc 3.66
12 Sc 0.1605 0.8395 0.0000  1 Sc 2.89
13 Sc 0.8395 0.1605 0.0000  1 Sc 2.89

Properties
DOS(E_F)   18.6 states/eV/f.u.

***

Q: Which of them is the least stable? A: (x).

***

(w)
A plane-wave DFT calculation with PBE-GGA was carried out for a relaxed structure of Tb2PrSc3.

Lattice parameters (Å, degrees): 5.9924 3.4675 16.7178 90.00 96.85 90.00
Last column: nearest neighbours and their distance in Å.
Sites, in units of the cell vectors:
1 Tb 0.0262 0.2500 0.3325  6 Sc 3.41-3.43, 4 Pr 3.45-3.47, 2 Tb 3.47
2 Tb 0.2497 0.2500 0.0001  6 Sc 3.38-3.39, 6 Tb 3.46-3.47
3 Tb 0.7503 0.7500 0.9999  6 Sc 3.38-3.39, 6 Tb 3.46-3.47
4 Tb 0.9738 0.7500 0.6675  6 Sc 3.41-3.43, 4 Pr 3.45-3.47, 2 Tb 3.47
5 Pr 0.4722 0.2500 0.6679  6 Sc 3.43-3.45, 4 Tb 3.45-3.47, 2 Pr 3.47
6 Pr 0.5278 0.7500 0.3321  6 Sc 3.43-3.45, 4 Tb 3.45-3.47, 2 Pr 3.47
7 Sc 0.1367 0.7500 0.1648  5 Tb 3.38-3.43, 1 Pr 3.43, 6 Sc 3.45-3.47
8 Sc 0.2468 0.7500 0.4991  3 Tb 3.41-3.42, 3 Pr 3.43-3.45, 6 Sc 3.43-3.49
9 Sc 0.3612 0.7500 0.8362  4 Tb 3.38-3.43, 2 Pr 3.44, 6 Sc 3.45-3.47
10 Sc 0.6388 0.2500 0.1638  4 Tb 3.38-3.43, 2 Pr 3.44, 6 Sc 3.45-3.47
11 Sc 0.7532 0.2500 0.5009  3 Tb 3.41-3.42, 3 Pr 3.43-3.45, 6 Sc 3.43-3.49
12 Sc 0.8633 0.2500 0.8352  5 Tb 3.38-3.43, 1 Pr 3.43, 6 Sc 3.45-3.47

Properties
DOS(E_F)   9.5 states/eV/f.u.

***

(x)
A plane-wave DFT calculation with PBE-GGA was carried out for a relaxed structure of Tb2PrSc3.

Lattice parameters (Å, degrees): 6.7072 6.7072 9.2467 90.00 90.00 120.00
Last column: nearest neighbours and their distance in Å.
Sites, in units of the cell vectors:
1 Tb 0.0000 0.0000 0.0000  6 Sc 3.06
2 Tb 0.0000 0.0000 0.5000  6 Sc 3.27
3 Tb 0.3333 0.6667 0.0833  1 Pr 3.37, 9 Sc 3.40-3.64
4 Tb 0.6667 0.3333 0.9167  1 Pr 3.37, 9 Sc 3.40-3.64
5 Pr 0.3333 0.6667 0.4479  1 Tb 3.37, 3 Sc 3.40
6 Pr 0.6667 0.3333 0.5521  1 Tb 3.37, 3 Sc 3.40
7 Sc 0.1856 0.3711 0.7654  2 Sc 2.97, 2 Tb 3.06-3.27
8 Sc 0.1856 0.8144 0.7654  2 Sc 2.97, 2 Tb 3.06-3.27
9 Sc 0.3711 0.1856 0.2346  2 Sc 2.97, 2 Tb 3.06-3.27
10 Sc 0.6289 0.8144 0.7654  2 Sc 2.97, 2 Tb 3.06-3.27
11 Sc 0.8144 0.1856 0.2346  2 Sc 2.97, 2 Tb 3.06-3.27
12 Sc 0.8144 0.6289 0.2346  2 Sc 2.97, 2 Tb 3.06-3.27

Properties
DOS(E_F)   13.3 states/eV/f.u.

***

Q: Which of them is the least stable? A: (x).